# Li11Fe3B24Pb2O48

A relaxed Li11Fe3B24Pb2O48 crystal (PBE with a Hubbard U, Alexandria via LeMat-Bulk).

Properties
**Total energy**: -7.32 eV/atom
**Space group**: P1 (1)
**Crystal system**: triclinic

Geometry as POSCAR:
```
Li11Fe3B24Pb2O48
1.0
-8.5482 -3.9338 1.7637
5.5466 -7.9161 -0.6745
2.4014 3.1446 8.8135
O B Fe Li Pb
48 24 3 11 2
Direct
0.0155 0.6090 0.3143
0.1934 0.5672 0.6658
0.8977 0.1896 0.4818
0.7844 0.9896 0.9482
0.3123 0.0141 0.6250
0.8137 0.5166 0.1045
0.8216 0.0389 0.6410
0.8043 0.4368 0.3310
0.3111 0.9326 0.8479
0.6653 0.1906 0.5612
0.6819 0.4641 0.8536
0.5651 0.6656 0.1960
0.3354 0.8185 0.4420
0.9405 0.8364 0.3074
0.4324 0.3198 0.7894
0.8283 0.3050 0.9360
0.0084 0.0509 0.2175
0.4861 0.8905 0.1863
0.6922 0.9868 0.3893
0.0757 0.1637 0.6853
0.2157 0.0116 0.0557
0.1855 0.9886 0.3859
0.0430 0.2142 0.0023
0.1059 0.8118 0.5200
0.4387 0.2636 0.4930
0.5209 0.1026 0.8257
0.3946 0.6829 0.9850
0.3132 0.5318 0.1426
0.4958 0.4555 0.2905
0.5504 0.7255 0.5087
0.0316 0.6382 0.8136
0.7053 0.5033 0.5404
0.1547 0.3189 0.5403
0.5346 0.1411 0.3106
0.6447 0.8111 0.0346
0.4969 0.5362 0.7028
0.6923 0.0623 0.1599
0.8527 0.6856 0.4628
0.3517 0.1858 0.9616
0.9860 0.3899 0.6855
0.4636 0.8545 0.6928
0.9668 0.3596 0.1849
0.9535 0.7856 0.9922
0.1875 0.4833 0.8915
0.0011 0.9549 0.7847
0.1666 0.6924 0.0636
0.2903 0.5014 0.4531
0.5998 0.3207 0.0152
0.0994 0.5156 0.7680
0.2294 0.9002 0.4918
0.4611 0.5533 0.2084
0.0511 0.7035 0.9601
0.4839 0.2271 0.9046
0.7709 0.1003 0.5130
0.5487 0.1958 0.4563
0.2936 0.0399 0.9548
0.0172 0.2688 0.5981
0.9676 0.0501 0.7024
0.9005 0.4862 0.2314
0.0395 0.9575 0.3038
0.6017 0.0154 0.2632
0.7049 0.9568 0.0483
0.2677 0.5981 0.0161
0.5380 0.4421 0.7834
0.7878 0.5395 0.4418
0.4065 0.9777 0.7517
0.2143 0.4703 0.5546
0.7305 0.4024 0.9833
0.5184 0.7650 0.1001
0.9445 0.2950 0.0385
0.4500 0.8004 0.5441
0.9824 0.7327 0.4009
0.5000 0.5067 0.4962
0.2970 0.2009 0.6000
0.9978 0.9974 0.0010
0.8137 0.7160 0.1119
0.2879 0.8895 0.1858
0.7836 0.3890 0.6839
0.8851 0.1896 0.2799
0.1121 0.8039 0.7186
0.7207 0.1105 0.8110
0.6879 0.7881 0.3889
0.2157 0.6179 0.3097
0.1821 0.2862 0.8913
0.6105 0.3123 0.2159
0.3935 0.6864 0.7884
0.7545 0.7522 0.7475
0.2401 0.2607 0.2286
```